Record 1
## HgPt3 (GGA-PBE)

Data for a geometry-optimized HgPt3 structure.

Computed properties:
Its symmetry is Pm-3m (221). Its formation energy from the elements is 1969.8 meV/atom.

Lattice parameters (Å, degrees): 5.1127 5.1127 5.1127 90.00 90.00 90.00
Closest atoms and distances in Å follow each position.
Element x y z (fractional)
Hg: 0.0000 0.0000 0.0000  6 Pt 2.56
Pt: 0.0000 0.0000 0.5000  2 Hg 2.56
Pt: 0.0000 0.5000 0.0000  2 Hg 2.56
Pt: 0.5000 0.0000 0.0000  2 Hg 2.56


Record 2
## Er5Zn4Ir (GGA-PBE)

Data for a geometry-optimized Er5Zn4Ir structure.

Computed properties:
Its symmetry is P4/mmm (123). Its formation energy from the elements is -476.4 meV/atom.

Lattice parameters (Å, degrees): 3.5159 3.5159 17.4988 90.00 90.00 90.00
Closest atoms and distances in Å follow each position.
Element x y z (fractional)
Er: 0.0000 0.0000 0.0000  8 Zn 3.06
Er: 0.0000 0.0000 0.2029  8 Zn 3.03-3.05
Er: 0.0000 0.0000 0.4090  4 Ir 2.95, 4 Zn 3.11, 1 Er 3.19
Er: 0.0000 0.0000 0.5910  4 Ir 2.95, 4 Zn 3.11, 1 Er 3.19
Er: 0.0000 0.0000 0.7971  8 Zn 3.03-3.05
Zn: 0.5000 0.5000 0.1018  8 Er 3.05-3.06
Zn: 0.5000 0.5000 0.3021  8 Er 3.03-3.11
Zn: 0.5000 0.5000 0.6979  8 Er 3.03-3.11
Zn: 0.5000 0.5000 0.8982  8 Er 3.05-3.06
Ir: 0.5000 0.5000 0.5000  8 Er 2.95


Record 3
## RbSrAuSe2 (GGA-PBE)

Data for a geometry-optimized RbSrAuSe2 structure.

Computed properties:
Its symmetry is P4/mmm (123). Its energy above the most stable polymorph in this dataset is 1741 meV per atom.

Lattice parameters (Å, degrees): 5.7514 5.7514 6.4569 90.00 90.00 90.00
Closest atoms and distances in Å follow each position.
Element x y z (fractional)
Rb: 0.0000 0.0000 0.0000  4 Se 2.88
Sr: 0.0000 0.0000 0.5000  2 Rb 3.23
Au: 0.5000 0.5000 0.5000  4 Sr 4.07, 8 Se 4.32
Se: 0.0000 0.5000 0.0000  2 Rb 2.88
Se: 0.5000 0.0000 0.0000  2 Rb 2.88


Per-record calculated density, g/cm³: 9.764 9.904 4.105
Per-record V, Å³/atom: 33.4 21.6 42.7